DFT (PBE) results for AcBAu after structural relaxation.

Cell lengths 6.7809, 6.7809, 6.7809 Å; angles 90.00, 90.00, 90.00 degrees
With the nearest neighbours (Å) after each atom.
Space group F-43m (No. 216)
Unique sites:
Ac  0.0000  0.0000  0.0000 x4  4 Au 2.94
B  0.0000  0.0000  0.5000 x4  4 Au 2.94
Au  0.2500  0.2500  0.2500 x4  4 Ac 2.94, 4 B 2.94

The mass density comes out at 9.26 Mg/m³. Its magnetization is 0.55 μB/f.u. The value obtained for the calculated total energy is -4.166 eV/atom.